# BaHg2P

A relaxed structure of BaHg2P (PBEsol, Alexandria).

a = 5.849 Å, b = 5.849 Å, c = 5.328 Å
α = 116.33°, β = 116.33°, γ = 40.92°
Sites, in units of the cell vectors:
Ba 0.000 0.000 0.000
Hg 0.208 0.208 0.705
Hg 0.792 0.792 0.295
P 0.500 0.500 0.500

Output
M_tot = 0.0 Bohr magnetons per cell
Fermi-level density of states = 0.481 states/eV/atom
Calculated formation energy = -339 meV per atom

***

# BaAgPb2

A relaxed structure of BaAgPb2 (PBEsol, Alexandria).

a = 6.717 Å, b = 6.717 Å, c = 6.717 Å
α = 41.82°, β = 41.82°, γ = 41.82°
Sites, in units of the cell vectors:
Ba 0.000 0.000 0.000
Ag 0.500 0.500 0.500
Pb 0.219 0.219 0.219
Pb 0.781 0.781 0.781

Output
M_tot = 0.0 Bohr magnetons per cell
Fermi-level density of states = 0.371 states/eV/atom
Calculated formation energy = -302 meV per atom
ΔE to the lowest computed polymorph = 0.000 eV/atom

***

# Dy5Mo2O12

A relaxed structure of Dy5Mo2O12 (PBEsol, Alexandria).

a = 6.715 Å, b = 6.715 Å, c = 7.470 Å
α = 106.32°, β = 106.32°, γ = 49.99°
Sites, in units of the cell vectors:
Dy 0.000 0.000 0.000
Dy 0.306 0.306 0.140
Dy 0.315 0.315 0.678
Dy 0.685 0.685 0.322
Dy 0.694 0.694 0.860
Mo 0.218 0.782 0.500
Mo 0.782 0.218 0.500
O 0.001 0.001 0.295
O 0.092 0.579 0.417
O 0.097 0.593 0.925
O 0.407 0.903 0.075
O 0.421 0.908 0.583
O 0.499 0.499 0.317
O 0.501 0.501 0.683
O 0.579 0.092 0.417
O 0.593 0.097 0.925
O 0.903 0.407 0.075
O 0.908 0.421 0.583
O 0.999 0.999 0.705

Output
M_tot = 1.1 Bohr magnetons per cell
Uncorrected formation energy = -3.15 eV per atom
Fermi-level density of states = 0.139 states/eV/atom

***

# Ho2Si5Rh3

A relaxed structure of Ho2Si5Rh3 (PBEsol, Alexandria).

a = 8.058 Å, b = 8.058 Å, c = 8.058 Å
α = 105.24°, β = 89.02°, γ = 138.96°
Sites, in units of the cell vectors:
Ho 0.132 0.231 0.363
Ho 0.368 0.731 0.099
Ho 0.632 0.269 0.901
Ho 0.868 0.769 0.637
Si 0.029 0.750 0.279
Si 0.105 0.659 0.764
Si 0.250 0.250 0.000
Si 0.395 0.159 0.555
Si 0.471 0.750 0.721
Si 0.529 0.250 0.279
Si 0.605 0.841 0.445
Si 0.750 0.750 0.000
Si 0.895 0.341 0.236
Si 0.971 0.250 0.721
Rh 0.140 0.891 0.032
Rh 0.250 0.750 0.500
Rh 0.360 0.391 0.751
Rh 0.640 0.609 0.249
Rh 0.750 0.250 0.500
Rh 0.860 0.109 0.968

Output
M_tot = 0.0 Bohr magnetons per cell
Uncorrected formation energy = -1.04 eV per atom
Fermi-level density of states = 0.406 states/eV/atom

***

# ZrTc2Pd

A relaxed structure of ZrTc2Pd (PBEsol, Alexandria).

a = 4.457 Å, b = 4.457 Å, c = 4.457 Å
α = 60.00°, β = 60.00°, γ = 60.00°
Sites, in units of the cell vectors:
Zr 0.000 0.000 0.000
Tc 0.250 0.250 0.250
Tc 0.750 0.750 0.750
Pd 0.500 0.500 0.500

Output
M_tot = 0.0 Bohr magnetons per cell
Fermi-level density of states = 1.897 states/eV/atom
Calculated formation energy = 164 meV per atom

***

# LaSc2W

A relaxed structure of LaSc2W (PBEsol, Alexandria).

a = 3.213 Å, b = 3.213 Å, c = 9.052 Å
α = 90.00°, β = 90.00°, γ = 90.00°
Sites, in units of the cell vectors:
La 0.000 0.000 0.000
Sc 0.500 0.500 0.313
Sc 0.500 0.500 0.687
W 0.000 0.000 0.500

Output
M_tot = 0.0 Bohr magnetons per cell
Fermi-level density of states = 1.639 states/eV/atom
Calculated formation energy = 283 meV per atom

***

# Al4Ag

A relaxed structure of Al4Ag (PBEsol, Alexandria).

a = 4.923 Å, b = 4.923 Å, c = 4.923 Å
α = 99.81°, β = 99.81°, γ = 131.25°
Sites, in units of the cell vectors:
Al 0.104 0.303 0.407
Al 0.303 0.896 0.199
Al 0.697 0.104 0.801
Al 0.896 0.697 0.593
Ag 0.500 0.500 0.000

Output
M_tot = 0.0 Bohr magnetons per cell
Fermi-level density of states = 0.319 states/eV/atom
Calculated formation energy = 4 meV per atom
ΔE to the lowest computed polymorph = 0.037 eV/atom

***

# ScB2C2

A relaxed structure of ScB2C2 (PBEsol, Alexandria).

a = 5.265 Å, b = 10.176 Å, c = 3.378 Å
α = 90.00°, β = 90.00°, γ = 90.00°
Sites, in units of the cell vectors:
Sc 0.138 0.149 0.000
Sc 0.362 0.649 0.000
Sc 0.638 0.351 0.000
Sc 0.862 0.851 0.000
B 0.013 0.689 0.500
B 0.144 0.964 0.500
B 0.356 0.464 0.500
B 0.487 0.189 0.500
B 0.513 0.811 0.500
B 0.644 0.536 0.500
B 0.856 0.036 0.500
B 0.987 0.311 0.500
C 0.107 0.544 0.500
C 0.203 0.809 0.500
C 0.297 0.309 0.500
C 0.393 0.044 0.500
C 0.607 0.956 0.500
C 0.703 0.691 0.500
C 0.797 0.191 0.500
C 0.893 0.456 0.500

Output
M_tot = 0.0 Bohr magnetons per cell
Fermi-level density of states = 0.192 states/eV/atom
Calculated formation energy = -505 meV per atom